1.
LaTl3C: single point on PBEsol structure, SCAN.

The space group is Pm-3m (No. 221) and the conventional cell measures 6.0801, 6.0801 and 6.0801 Å, with angles of 90.00, 90.00 and 90.00 degrees. The distinct sites, in fractional coordinates, are La at (0.0000, 0.0000, 0.0000), Tl at (0.0000, 0.0000, 0.5000) and C at (0.5000, 0.5000, 0.5000).

The value obtained for the electronic total energy is -261.14 eV per cell. Its formation enthalpy at 0 K is 1.83 eV per atom.

---

2.
Ca3PdPb: single point on PBEsol structure, SCAN.

The space group is Pm-3m (No. 221) and the conventional cell measures 5.4011, 5.4011 and 5.4011 Å, with angles of 90.00, 90.00 and 90.00 degrees. The distinct sites, in fractional coordinates, are Ca at (0.0000, 0.0000, 0.5000), Pd at (0.0000, 0.0000, 0.0000) and Pb at (0.5000, 0.5000, 0.5000).

The value obtained for the electronic total energy is -140.18 eV per cell. Its formation enthalpy at 0 K is -0.53 eV per atom.

---

3.
MnAg2Au: single point on PBEsol structure, SCAN.

The space group is C2/m (No. 12) and the conventional cell measures 5.4985, 9.5657 and 2.8011 Å, with angles of 90.00, 118.13 and 90.00 degrees. The distinct sites, in fractional coordinates, are Mn at (0.0000, 0.0000, 0.0000), Ag at (0.2500, 0.2500, 0.5000) and Au at (0.0000, 0.5000, 0.0000).

The value obtained for the electronic total energy is -300.86 eV per cell. Its formation enthalpy at 0 K is -0.07 eV per atom.

---

4.
LaSc8: single point on PBEsol structure, SCAN.

The space group is I4/mmm (No. 139) and the conventional cell measures 9.7783, 9.7783 and 4.6118 Å, with angles of 90.00, 90.00 and 90.00 degrees. The distinct sites, in fractional coordinates, are La at (0.0000, 0.0000, 0.0000), Sc at (0.0000, 0.3363, 0.0000) and Sc at (0.1707, 0.1707, 0.5000).

The value obtained for the electronic total energy is -312.43 eV per cell. Its formation enthalpy at 0 K is 0.09 eV per atom.

---

5.
Ti4Al2CN: single point on PBEsol structure, SCAN.

The space group is P-3m1 (No. 164) and the conventional cell measures 3.0055, 3.0055 and 13.5642 Å, with angles of 90.00, 90.00 and 120.00 degrees. The distinct sites, in fractional coordinates, are Ti at (0.3333, 0.6667, 0.0836), Ti at (0.3333, 0.6667, 0.4150), Al at (0.3333, 0.6667, 0.7518), C at (0.0000, 0.0000, 0.5000) and N at (0.0000, 0.0000, 0.0000).

The value obtained for the electronic total energy is -107.36 eV per cell.

---

6.
NaHfH2W: single point on PBEsol structure, SCAN.

The space group is P4/mmm (No. 123) and the conventional cell measures 3.9111, 3.9111 and 4.9396 Å, with angles of 90.00, 90.00 and 90.00 degrees. The distinct sites, in fractional coordinates, are Na at (0.0000, 0.0000, 0.0000), Hf at (0.5000, 0.5000, 0.0000), H at (0.0000, 0.5000, 0.5000) and W at (0.5000, 0.5000, 0.5000).

The value obtained for the electronic total energy is -137.58 eV per cell.

---

7.
Ca2Hg2Bi: single point on PBEsol structure, SCAN.

The space group is P4/mbm (No. 127) and the conventional cell measures 8.4100, 8.4100 and 3.7972 Å, with angles of 90.00, 90.00 and 90.00 degrees. The distinct sites, in fractional coordinates, are Ca at (0.1711, 0.3289, 0.0000), Hg at (0.1247, 0.6247, 0.5000) and Bi at (0.0000, 0.0000, 0.5000).

The value obtained for the electronic total energy is -475.14 eV per cell. Its formation enthalpy at 0 K is -0.67 eV per atom.

---

8.
Pm2S3: single point on PBEsol structure, SCAN.

The space group is R-3c (No. 167, hexagonal axes) and the conventional cell measures 7.0637, 7.0637 and 18.5157 Å, with angles of 90.00, 90.00 and 120.00 degrees. The distinct sites, in fractional coordinates, are Pm at (0.0000, 0.0000, 0.1464) and S at (0.0000, 0.2955, 0.2500).

The value obtained for the electronic total energy is -770.93 eV per cell.

---

9.
Ta2NbCu2: single point on PBEsol structure, SCAN.

The space group is I4/mmm (No. 139) and the conventional cell measures 3.7814, 3.7814 and 11.2770 Å, with angles of 90.00, 90.00 and 90.00 degrees. The distinct sites, in fractional coordinates, are Ta at (0.0000, 0.5000, 0.2500), Nb at (0.0000, 0.0000, 0.0000) and Cu at (0.0000, 0.0000, 0.4038).

The value obtained for the electronic total energy is -389.73 eV per cell. Its formation enthalpy at 0 K is 0.37 eV per atom.

---

10.
La2YCd: single point on PBEsol structure, SCAN.

The space group is I-4m2 (No. 119) and the conventional cell measures 4.8420, 4.8420 and 9.9529 Å, with angles of 90.00, 90.00 and 90.00 degrees. The distinct sites, in fractional coordinates, are La at (0.0000, 0.0000, 0.0000), La at (0.0000, 0.5000, 0.2500), Y at (0.0000, 0.0000, 0.5000) and Cd at (0.0000, 0.5000, 0.7500).

The value obtained for the electronic total energy is -290.06 eV per cell. Its formation enthalpy at 0 K is -0.14 eV per atom.

---

11.
AgPt2Au: single point on PBEsol structure, SCAN.

The space group is Immm (No. 71) and the conventional cell measures 2.7762, 4.7475 and 9.6327 Å, with angles of 90.00, 90.00 and 90.00 degrees. The distinct sites, in fractional coordinates, are Ag at (0.0000, 0.0000, 0.0000), Pt at (0.0000, 0.5000, 0.2488) and Au at (0.0000, 0.0000, 0.5000).

The energy above the most stable polymorph in this dataset comes out at 12 meV/atom. The value obtained for the electronic total energy is -481.72 eV per cell. Its formation enthalpy at 0 K is 0.01 eV per atom.

---

12.
Ca2YMo: single point on PBEsol structure, SCAN.

The space group is Fm-3m (No. 225) and the conventional cell measures 7.5176, 7.5176 and 7.5176 Å, with angles of 90.00, 90.00 and 90.00 degrees. The distinct sites, in fractional coordinates, are Ca at (0.2500, 0.2500, 0.2500), Y at (0.0000, 0.0000, 0.0000) and Mo at (0.0000, 0.0000, 0.5000).

The value obtained for the electronic total energy is -316.53 eV per cell. Its formation enthalpy at 0 K is 0.73 eV per atom.

---

13.
AsPb3Cl: single point on PBEsol structure, SCAN.

The space group is Pm-3m (No. 221) and the conventional cell measures 5.4117, 5.4117 and 5.4117 Å, with angles of 90.00, 90.00 and 90.00 degrees. The distinct sites, in fractional coordinates, are As at (0.0000, 0.0000, 0.0000), Pb at (0.0000, 0.5000, 0.5000) and Cl at (0.5000, 0.5000, 0.5000).

The value obtained for the electronic total energy is -253.10 eV per cell.

---

14.
Ba2LiFe: single point on PBEsol structure, SCAN.

The space group is Cm (No. 8) and the conventional cell measures 12.4600, 3.7190 and 5.6933 Å, with angles of 90.00, 109.27 and 90.00 degrees. The distinct sites, in fractional coordinates, are Ba at (0.0000, 0.0000, 0.0000), Ba at (0.2003, 0.0000, 0.6484), Li at (0.2983, 0.5000, 0.2546) and Fe at (0.4608, 0.0000, 0.4821).

The energy above the most stable polymorph in this dataset comes out at 11 meV/atom. The value obtained for the electronic total energy is -195.47 eV per cell. Its formation enthalpy at 0 K is 0.47 eV per atom.